Entry i
BaPmAs2 (PBE, optimized geometry); volume = 112.5 Å³ per cell; total moment = 0.00 Bohr magnetons per cell
1.0
-3.533 4.106 0.158
-4.289 -0.243 3.302
-0.242 3.199 4.367
Pm Ba As
1 1 2
direct
0.000 0.000 0.000
0.500 0.500 0.500
0.750 0.750 0.750
0.250 0.250 0.250


Entry ii
BaPmAs2 (PBE, optimized geometry); volume = 128.2 Å³ per cell; total moment = 0.00 Bohr magnetons per cell
1.0
-0.921 0.918 -4.133
-2.795 -2.476 -2.198
-7.182 4.102 0.241
Pm As Ba
1 2 1
direct
0.669 0.669 0.993
0.072 0.072 0.784
0.262 0.262 0.214
0.497 0.497 0.509


Q: What are the energies relative to the best structure? A: entry i 0.218; entry ii 0.000, in eV/atom.


Entry i
BaAsPt3 (PBE, optimized geometry); volume = 116.0 Å³ per cell; total moment = 0.00 Bohr magnetons per cell
1.0
-1.969 -3.442 2.840
2.574 -3.412 -2.351
3.645 0.550 3.193
Pt As Ba
3 1 1
direct
0.000 0.000 0.500
0.000 0.500 0.000
0.500 0.000 0.000
0.000 0.000 0.000
0.500 0.500 0.500


Entry ii
BaAsPt3 (PBE, optimized geometry); volume = 152.1 Å³ per cell; total moment = 0.00 Bohr magnetons per cell
1.0
-1.891 2.178 4.491
-2.735 -4.470 1.016
4.176 -1.942 2.700
Pt Ba As
3 1 1
direct
0.500 0.000 0.000
0.000 0.000 0.500
0.000 0.500 0.000
0.000 0.000 0.000
0.500 0.500 0.500


Entry iii
BaAsPt3 (PBE, optimized geometry); volume = 209.8 Å³ per cell; total moment = 0.00 Bohr magnetons per cell
1.0
-1.769 -4.201 -4.350
2.462 -5.795 0.227
-4.517 -1.780 3.555
Ba Pt As
2 6 2
direct
0.021 0.224 0.052
0.539 0.742 0.552
0.463 0.665 0.052
0.063 0.700 0.802
0.063 0.700 0.302
0.098 0.300 0.552
0.497 0.266 0.302
0.497 0.266 0.802
0.689 0.891 0.052
0.872 0.075 0.552


Q: What are the energies relative to the best structure? A: entry i 0.282; entry ii 2.449; entry iii 0.000, in eV/atom.


Entry i
Ba2As2Pt (PBE, optimized geometry); volume = 271.7 Å³ per cell; total moment = 0.00 Bohr magnetons per cell
1.0
7.385 0.000 0.000
0.000 7.385 0.000
0.000 0.000 4.982
As Ba Pt
4 4 2
direct
0.128 0.372 0.000
0.872 0.628 0.000
0.372 0.872 0.000
0.628 0.128 0.000
0.678 0.822 0.500
0.822 0.322 0.500
0.322 0.178 0.500
0.178 0.678 0.500
0.000 0.000 0.000
0.500 0.500 0.000


Entry ii
Ba2As2Pt (PBE, optimized geometry); volume = 297.3 Å³ per cell; total moment = 0.00 Bohr magnetons per cell
1.0
-2.644 -0.225 -3.428
3.434 -1.647 -5.281
-1.376 -11.501 -0.926
Ba Pt As
4 2 4
direct
0.917 0.269 0.898
0.083 0.731 0.102
0.305 0.753 0.637
0.695 0.247 0.363
0.571 0.174 0.684
0.429 0.826 0.316
0.653 0.841 0.852
0.347 0.159 0.148
0.956 0.676 0.412
0.044 0.324 0.588


Q: What are the energies relative to the best structure? A: entry i 0.261; entry ii 0.000, in eV/atom.


Entry i
Ba3As4Pt2 (PBE, optimized geometry); volume = 244.9 Å³ per cell; total moment = 0.00 Bohr magnetons per cell
1.0
4.508 0.000 0.000
-2.254 6.058 -0.681
0.000 0.264 8.937
Ba As Pt
3 4 2
direct
0.665 0.331 0.666
0.335 0.669 0.334
0.000 0.000 0.000
0.949 0.899 0.627
0.051 0.101 0.373
0.287 0.575 0.943
0.713 0.425 0.057
0.614 0.227 0.289
0.386 0.773 0.711


Entry ii
Ba3As4Pt2 (PBE, optimized geometry); volume = 239.5 Å³ per cell; total moment = 0.00 Bohr magnetons per cell
1.0
4.552 0.000 0.000
-2.276 6.145 -0.220
0.000 -2.795 8.661
As Ba Pt
4 3 2
direct
0.134 0.267 0.404
0.279 0.558 0.930
0.721 0.442 0.070
0.866 0.733 0.596
0.000 0.000 0.000
0.612 0.224 0.681
0.388 0.776 0.319
0.317 0.634 0.670
0.683 0.366 0.330


Q: What are the energies relative to the best structure? A: entry i 0.000; entry ii 0.070, in eV/atom.


Entry i
BaAs2PtSe (PBE, optimized geometry); volume = 134.0 Å³ per cell; total moment = 0.00 Bohr magnetons per cell
1.0
-2.531 3.963 1.444
-0.518 -1.963 4.481
4.711 2.424 1.606
Pt Ba Se As
1 1 1 2
direct
0.000 0.000 0.000
0.500 0.500 0.500
0.000 0.000 0.500
0.000 0.500 0.000
0.500 0.000 0.000


Entry ii
BaAs2PtSe (PBE, optimized geometry); volume = 199.8 Å³ per cell; total moment = 1.63 Bohr magnetons per cell
1.0
5.867 0.000 0.000
0.000 5.867 0.000
0.000 0.000 5.803
As Ba Pt Se
2 1 1 1
direct
0.000 0.500 0.000
0.500 0.000 0.000
0.000 0.000 0.000
0.500 0.500 0.500
0.000 0.000 0.500


Q: What are the energies relative to the best structure? A: entry i 0.000; entry ii 1.983, in eV/atom.


Entry i
BaPuAs (PBE, optimized geometry); volume = 103.1 Å³ per cell; total moment = 6.02 Bohr magnetons per cell
1.0
4.810 0.000 0.000
0.000 4.976 0.000
0.000 -2.488 4.309
As Ba Pu
1 1 1
direct
0.167 0.000 0.000
0.667 0.667 0.333
0.166 0.333 0.667


Entry ii
BaPuAs (PBE, optimized geometry); volume = 179.2 Å³ per cell; total moment = 0.00 Bohr magnetons per cell
1.0
-2.232 0.197 -3.270
-0.253 -3.130 -2.418
-11.201 -5.402 4.917
As Pu Ba
2 2 2
direct
0.775 0.775 0.674
0.225 0.225 0.326
0.846 0.846 0.463
0.154 0.154 0.537
0.388 0.388 0.836
0.612 0.612 0.164


Q: What are the energies relative to the best structure? A: entry i 0.000; entry ii 0.088, in eV/atom.


Entry i
RbBa2As (PBE, optimized geometry); volume = 244.3 Å³ per cell; total moment = 0.00 Bohr magnetons per cell
1.0
-2.680 1.561 -3.663
0.554 -1.916 -4.366
-9.200 -8.546 -0.055
Ba As Rb
2 1 1
direct
0.286 0.286 0.143
0.047 0.047 0.858
0.666 0.666 0.001
0.501 0.501 0.498


Entry ii
RbBa2As (PBE, optimized geometry); volume = 209.7 Å³ per cell; total moment = 0.34 Bohr magnetons per cell
1.0
-2.276 -1.011 3.372
3.422 0.305 2.401
-2.348 11.551 1.878
Rb Ba As
1 2 1
direct
0.500 0.500 0.500
0.000 0.000 0.856
0.000 0.000 0.144
0.500 0.500 0.000


Q: What are the energies relative to the best structure? A: entry i 0.000; entry ii 0.101, in eV/atom.


Entry i
RbBa2As (PBE, optimized geometry); volume = 157.4 Å³ per cell; total moment = 0.00 Bohr magnetons per cell
1.0
-5.464 0.729 2.519
-3.714 4.342 -2.022
-4.990 -1.483 -3.104
As Ba Rb
1 2 1
direct
0.000 0.000 0.000
0.250 0.250 0.250
0.750 0.750 0.750
0.500 0.500 0.500


Entry ii
RbBa2As (PBE, optimized geometry); volume = 442.1 Å³ per cell; total moment = 0.00 Bohr magnetons per cell
1.0
-7.259 -1.886 -7.026
-4.330 -6.856 6.314
-8.176 -1.348 1.293
Ba As Rb
4 2 2
direct
0.528 0.125 0.250
0.875 0.778 0.750
0.375 0.472 0.750
0.222 0.625 0.250
0.500 0.500 0.000
0.250 0.750 0.500
0.750 0.250 0.500
0.000 0.000 0.000


Entry iii
RbBa2As (PBE, optimized geometry); volume = 243.6 Å³ per cell; total moment = 0.00 Bohr magnetons per cell
1.0
-2.841 -2.487 2.966
4.362 1.385 1.453
-4.710 10.427 4.230
Ba As Rb
2 1 1
direct
0.667 0.334 0.357
0.333 0.666 0.643
0.000 0.000 0.500
0.000 0.000 0.000


Q: What are the energies relative to the best structure? A: entry i 0.473; entry ii 0.243; entry iii 0.000, in eV/atom.


Entry i
RbBaAs3 (PBE, optimized geometry); volume = 180.5 Å³ per cell; total moment = 0.00 Bohr magnetons per cell
1.0
5.652 0.000 0.000
0.000 5.652 0.000
0.000 0.000 5.652
As Rb Ba
3 1 1
direct
0.500 0.000 0.000
0.000 0.500 0.000
0.000 0.000 0.500
0.000 0.000 0.000
0.500 0.500 0.500


Entry ii
RbBaAs3 (PBE, optimized geometry); volume = 218.3 Å³ per cell; total moment = 0.00 Bohr magnetons per cell
1.0
-3.469 -1.244 -4.761
0.158 -5.851 1.413
-4.918 0.689 3.404
As Ba Rb
3 1 1
direct
0.000 0.500 0.000
0.000 0.000 0.500
0.500 0.000 0.000
0.000 0.000 0.000
0.500 0.500 0.500


Q: What are the energies relative to the best structure? A: entry i 0.177; entry ii 0.000, in eV/atom.


Entry i
Rb2BaAs2 (PBE, optimized geometry); volume = 392.0 Å³ per cell; total moment = 0.29 Bohr magnetons per cell
1.0
8.262 0.000 0.000
0.000 8.262 0.000
0.000 0.000 5.742
As Rb Ba
4 4 2
direct
0.392 0.892 0.000
0.608 0.108 0.000
0.108 0.392 0.000
0.892 0.608 0.000
0.339 0.161 0.500
0.661 0.839 0.500
0.161 0.661 0.500
0.839 0.339 0.500
0.000 0.000 0.000
0.500 0.500 0.000


Entry ii
Rb2BaAs2 (PBE, optimized geometry); volume = 181.4 Å³ per cell; total moment = 0.00 Bohr magnetons per cell
1.0
-4.147 0.994 -2.496
1.658 -2.666 -3.815
-4.424 -6.910 -0.293
Rb As Ba
2 2 1
direct
0.250 0.750 0.500
0.750 0.250 0.500
0.416 0.416 0.168
0.584 0.584 0.832
0.000 0.000 0.000


Q: What are the energies relative to the best structure? A: entry i 0.000; entry ii 0.018, in eV/atom.


Entry i
RbBaAs2Se (PBE, optimized geometry); volume = 244.5 Å³ per cell; total moment = 3.62 Bohr magnetons per cell
1.0
6.285 0.000 0.000
0.000 6.285 0.000
0.000 0.000 6.190
Rb Se As Ba
1 1 2 1
direct
0.500 0.500 0.500
0.000 0.000 0.500
0.500 0.000 0.000
0.000 0.500 0.000
0.000 0.000 0.000


Entry ii
RbBaAs2Se (PBE, optimized geometry); volume = 186.3 Å³ per cell; total moment = 0.00 Bohr magnetons per cell
1.0
-2.315 2.223 4.611
2.304 -4.066 3.117
4.803 3.337 0.802
Ba As Rb Se
1 2 1 1
direct
0.500 0.500 0.500
0.500 0.000 0.000
0.000 0.500 0.000
0.000 0.000 0.000
0.000 0.000 0.500


Q: What are the energies relative to the best structure? A: entry i 0.000; entry ii 0.240, in eV/atom.


Entry i
BaRe3As (PBE, optimized geometry); volume = 108.6 Å³ per cell; total moment = 2.42 Bohr magnetons per cell
1.0
-4.471 0.974 1.350
-1.534 -0.905 -4.426
-0.648 -4.582 1.162
Re As Ba
3 1 1
direct
0.500 0.000 0.000
0.000 0.000 0.500
0.000 0.500 0.000
0.000 0.000 0.000
0.500 0.500 0.500


Entry ii
BaRe3As (PBE, optimized geometry); volume = 126.0 Å³ per cell; total moment = 2.85 Bohr magnetons per cell
1.0
5.014 0.000 0.000
0.000 5.014 0.000
0.000 0.000 5.014
Re Ba As
3 1 1
direct
0.000 0.000 0.500
0.500 0.000 0.000
0.000 0.500 0.000
0.000 0.000 0.000
0.500 0.500 0.500


Q: What are the energies relative to the best structure? A: entry i 0.000; entry ii 2.491, in eV/atom.